(1)
# TaBiPd6 PBE optimized geometry
# D(E_F), states/eV per atom: 0.655
# DFT formation energy, meV/atom: -346.9
data_TaBiPd6
_chemical_formula_sum 'Ta1 Bi1 Pd6'
_cell_length_a 4.039
_cell_length_b 4.039
_cell_length_c 8.219
_cell_angle_alpha 90.00
_cell_angle_beta 90.00
_cell_angle_gamma 90.00
_symmetry_space_group_name_H-M 'P 4/m m m'
_symmetry_Int_Tables_number 123
_symmetry_space_group_name_Hall '-P 4 2'
loop_
_atom_site_label
_atom_site_fract_x
_atom_site_fract_y
_atom_site_fract_z
_atom_site_occupancy
Ta1 0.000 0.000 0.000 1
Bi1 0.000 0.000 0.500 1
Pd1 0.000 0.500 0.228 1
Pd2 0.500 0.500 0.000 1
Pd3 0.500 0.500 0.500 1


(2)
# Na4Ho3PuSe8 PBE optimized geometry
# ΔE_f (raw), eV per atom: -1.62
# D(E_F), states/eV per atom: 0.767
data_Na4Ho3PuSe8
_chemical_formula_sum 'Na12 Ho9 Pu3 Se24'
_cell_length_a 8.3090
_cell_length_b 8.3090
_cell_length_c 20.9683
_cell_angle_alpha 90.00
_cell_angle_beta 90.00
_cell_angle_gamma 120.00
_symmetry_space_group_name_H-M 'R -3 m'
_symmetry_Int_Tables_number 166
_symmetry_space_group_name_Hall '-R 3 2"'
loop_
_atom_site_label
_atom_site_fract_x
_atom_site_fract_y
_atom_site_fract_z
_atom_site_occupancy
Na1 0.0000 0.0000 0.0000 1
Na2 0.0000 0.5000 0.0000 1
Ho1 0.0000 0.5000 0.5000 1
Pu1 0.0000 0.0000 0.5000 1
Se1 0.0000 0.0000 0.2429 1
Se2 0.0046 0.5023 0.7569 1


(3)
# YAlNi PBE optimized geometry
# D(E_F), states/eV per atom: 0.812
# DFT formation energy, meV/atom: -599.3
data_YAlNi
_chemical_formula_sum 'Y3 Al3 Ni3'
_cell_length_a 6.9973
_cell_length_b 6.9973
_cell_length_c 3.8935
_cell_angle_alpha 90.00
_cell_angle_beta 90.00
_cell_angle_gamma 120.00
_symmetry_space_group_name_H-M 'P -6 2 m'
_symmetry_Int_Tables_number 189
_symmetry_space_group_name_Hall 'P -6 -2'
loop_
_atom_site_label
_atom_site_fract_x
_atom_site_fract_y
_atom_site_fract_z
_atom_site_occupancy
Y1 0.0000 0.5837 0.0000 1
Al1 0.0000 0.2347 0.5000 1
Ni1 0.0000 0.0000 0.0000 1
Ni2 0.3333 0.6667 0.5000 1


(4)
# Li6TeAu5 PBE optimized geometry
# ΔE_f (raw), eV per atom: -0.55
# D(E_F), states/eV per atom: 0.249
data_Li6TeAu5
_chemical_formula_sum 'Li12 Te2 Au10'
_cell_length_a 4.278
_cell_length_b 6.974
_cell_length_c 13.247
_cell_angle_alpha 90.00
_cell_angle_beta 90.00
_cell_angle_gamma 90.00
_symmetry_space_group_name_H-M 'I m m m'
_symmetry_Int_Tables_number 71
_symmetry_space_group_name_Hall '-I 2 2'
loop_
_atom_site_label
_atom_site_fract_x
_atom_site_fract_y
_atom_site_fract_z
_atom_site_occupancy
Li1 0.000 0.237 0.000 1
Li2 0.000 0.255 0.333 1
Te1 0.000 0.000 0.500 1
Au1 0.000 0.000 0.166 1
Au2 0.000 0.500 0.177 1
Au3 0.000 0.500 0.500 1


(5)
# Zr2NiSnP PBE optimized geometry
# D(E_F), states/eV per atom: 0.760
# DFT formation energy, meV/atom: 142.9
data_Zr2NiSnP
_chemical_formula_sum 'Zr2 Ni1 Sn1 P1'
_cell_length_a 4.901
_cell_length_b 4.901
_cell_length_c 4.563
_cell_angle_alpha 90.00
_cell_angle_beta 90.00
_cell_angle_gamma 90.00
_symmetry_space_group_name_H-M 'P 4/m m m'
_symmetry_Int_Tables_number 123
_symmetry_space_group_name_Hall '-P 4 2'
loop_
_atom_site_label
_atom_site_fract_x
_atom_site_fract_y
_atom_site_fract_z
_atom_site_occupancy
Zr1 0.000 0.500 0.000 1
Ni1 0.000 0.000 0.000 1
Sn1 0.000 0.000 0.500 1
P1 0.500 0.500 0.500 1


(6)
# HfCd2Si2 PBE optimized geometry
# Offset from the most stable computed form, meV per atom: 0
# ΔE_f (raw), eV per atom: 0.23
# D(E_F), states/eV per atom: 0.521
data_HfCd2Si2
_chemical_formula_sum 'Hf2 Cd4 Si4'
_cell_length_a 3.841
_cell_length_b 3.841
_cell_length_c 13.481
_cell_angle_alpha 90.00
_cell_angle_beta 90.00
_cell_angle_gamma 90.00
_symmetry_space_group_name_H-M 'I 4/m m m'
_symmetry_Int_Tables_number 139
_symmetry_space_group_name_Hall '-I 4 2'
loop_
_atom_site_label
_atom_site_fract_x
_atom_site_fract_y
_atom_site_fract_z
_atom_site_occupancy
Hf1 0.000 0.000 0.000 1
Cd1 0.000 0.500 0.250 1
Si1 0.000 0.000 0.413 1


(7)
# NiHRu2Rh PBE optimized geometry
# Offset from the most stable computed form, meV per atom: 17
# D(E_F), states/eV per atom: 1.372
data_NiHRu2Rh
_chemical_formula_sum 'Ni1 H1 Ru2 Rh1'
_cell_length_a 3.823
_cell_length_b 3.823
_cell_length_c 3.862
_cell_angle_alpha 90.00
_cell_angle_beta 90.00
_cell_angle_gamma 90.00
_symmetry_space_group_name_H-M 'P 4/m m m'
_symmetry_Int_Tables_number 123
_symmetry_space_group_name_Hall '-P 4 2'
loop_
_atom_site_label
_atom_site_fract_x
_atom_site_fract_y
_atom_site_fract_z
_atom_site_occupancy
Ni1 0.000 0.000 0.000 1
H1 0.500 0.500 0.500 1
Ru1 0.000 0.500 0.500 1
Rh1 0.500 0.500 0.000 1


(8)
# VCrSi PBE optimized geometry
# ΔE_f (raw), eV per atom: 0.49
# D(E_F), states/eV per atom: 0.771
data_VCrSi
_chemical_formula_sum 'V2 Cr2 Si2'
_cell_length_a 2.450
_cell_length_b 2.450
_cell_length_c 13.978
_cell_angle_alpha 90.00
_cell_angle_beta 90.00
_cell_angle_gamma 90.00
_symmetry_space_group_name_H-M 'I 4 m m'
_symmetry_Int_Tables_number 107
_symmetry_space_group_name_Hall 'I 4 -2'
loop_
_atom_site_label
_atom_site_fract_x
_atom_site_fract_y
_atom_site_fract_z
_atom_site_occupancy
V1 0.000 0.000 0.000 1
Cr1 0.000 0.000 0.346 1
Si1 0.000 0.000 0.176 1